Record 1
VASP calculation (PBE) on crystalline LiCeCuN2 at its relaxed geometry.

Calculated values
Formation energy without anion corrections: -0.723 eV per atom
Symmetry: P2/c (13)
Total magnetization: 0.00 μB per cell

abc: 5.4910 3.8204 6.1871
angles: 90.00 97.58 90.00
Sites, in units of the cell vectors:
Li1 0.0000 0.0303 0.2500
Li2 0.0000 0.9697 0.7500
Ce1 0.5000 0.2564 0.7500
Ce2 0.5000 0.7436 0.2500
Cu1 0.0000 0.5000 0.0000
Cu2 0.0000 0.5000 0.5000
N1 0.2807 0.2189 0.0557
N2 0.2807 0.7811 0.5557
N3 0.7193 0.2189 0.4443
N4 0.7193 0.7811 0.9443

Record 2
VASP calculation (PBE) on crystalline PaFeNi2 at its relaxed geometry.

Calculated values
Symmetry: P4/mmm (123)
Total magnetization: 0.40 μB per cell
ΔH_f (0 K): -1.33 eV/f.u.
DOS at the Fermi energy: 4.2 states/eV per cell

abc: 3.7355 3.7355 4.0274
angles: 90.00 90.00 90.00
Sites, in units of the cell vectors:
Pa1 0.0000 0.0000 0.0000
Fe1 0.5000 0.5000 0.0000
Ni1 0.0000 0.5000 0.5000
Ni2 0.5000 0.0000 0.5000

Record 3
VASP calculation (PBE) on crystalline Na3AsO3 at its relaxed geometry.

Calculated values
Formation energy without anion corrections: -1.242 eV per atom
Symmetry: Cmcm (63)
Total magnetization: 0.00 μB per cell
DOS at the Fermi energy: 5.2 states/eV per cell

abc: 7.5535 7.5535 4.7714
angles: 90.00 90.00 119.97
Sites, in units of the cell vectors:
Na1 0.1683 0.8317 0.7500
Na2 0.1691 0.3374 0.7500
Na3 0.3374 0.1691 0.2500
Na4 0.6626 0.8309 0.7500
Na5 0.8309 0.6626 0.2500
Na6 0.8317 0.1683 0.2500
As1 0.3331 0.6669 0.2500
As2 0.6669 0.3331 0.7500
O1 0.1921 0.8079 0.2500
O2 0.1928 0.3851 0.2500
O3 0.3851 0.1928 0.7500
O4 0.6149 0.8072 0.2500
O5 0.8072 0.6149 0.7500
O6 0.8079 0.1921 0.7500

Record 4
VASP calculation (PBE) on crystalline Cs2Tb2PaS6 at its relaxed geometry.

Calculated values
Formation energy without anion corrections: -1.811 eV per atom
Symmetry: C2/m (12)
Total magnetization: 1.08 μB per cell
DOS at the Fermi energy: 2.3 states/eV per cell

abc: 7.0407 7.0407 8.6023
angles: 98.01 98.01 119.93
Sites, in units of the cell vectors:
Cs1 0.1685 0.8315 0.0000
Cs2 0.8315 0.1685 0.0000
Tb1 0.3336 0.6664 0.5000
Tb2 0.6664 0.3336 0.5000
Pa1 0.0000 0.0000 0.5000
S1 0.0591 0.3885 0.6775
S2 0.2668 0.2668 0.3226
S3 0.3885 0.0591 0.6775
S4 0.6115 0.9409 0.3225
S5 0.7332 0.7332 0.6774
S6 0.9409 0.6115 0.3225

Record 5
VASP calculation (PBE) on crystalline YVRe2Bi at its relaxed geometry.

Calculated values
Symmetry: P4/mmm (123)
Total magnetization: 0.00 μB per cell
ΔH_f (0 K): 4.91 eV/f.u.
DOS at the Fermi energy: 7.5 states/eV per cell

abc: 4.6367 4.6367 5.1055
angles: 90.00 90.00 90.00
Sites, in units of the cell vectors:
Y1 0.0000 0.0000 0.0000
V1 0.5000 0.5000 0.5000
Re1 0.0000 0.5000 0.5000
Re2 0.5000 0.0000 0.5000
Bi1 0.5000 0.5000 0.0000